# GGA-PBE Li7Tl2Pb2, relaxed
data_Li7Tl2Pb2
_chemical_formula_sum 'Li7 Tl2 Pb2'
_space_group_name_H-M_alt 'P 1'
_space_group_IT_number 1
_space_group_name_Hall 'P 1'
_cell_length_a 5.0388
_cell_length_b 7.2712
_cell_length_c 7.2712
_cell_angle_alpha 78.79
_cell_angle_beta 69.62
_cell_angle_gamma 69.62
loop_
_atom_site_label
_atom_site_type_symbol
_atom_site_fract_x
_atom_site_fract_y
_atom_site_fract_z
Li1 Li 0.2294 0.9429 0.5939
Li2 Li 0.7706 0.4061 0.0571
Li3 Li 0.7706 0.0571 0.4061
Li4 Li 0.2294 0.5939 0.9429
Li5 Li 0.0000 0.0000 0.0000
Li6 Li 0.7535 0.4985 0.4985
Li7 Li 0.2465 0.5015 0.5015
Tl1 Tl 0.5000 0.7780 0.2220
Tl2 Tl 0.5000 0.2220 0.7780
Pb1 Pb 0.7313 0.7625 0.7625
Pb2 Pb 0.2687 0.2375 0.2375
# **E**: -2.521 eV per atom
# **ΔE_f**: -0.1990 eV/atom
# **DOS at the Fermi energy**: 2.0 states/eV/f.u.
# **Volume**: 233.3 Å³/cell
# **Size of the total moment**: 0.0 μB per cell